VASP calculation (GGA-PBE) on an optimized crystal structure of PrNd2Si2.

Structure (POSCAR):
```
PrNd2Si2
1.0
-4.6559 -6.2227 0.9296
6.2898 -4.6325 0.4931
0.0872 0.5739 4.2790
Nd Si Pr
4 4 2
Cartesian
3.7168 -5.5395 2.8461
1.2552 -2.3101 2.4631
-1.9958 -4.7417 2.8555
0.4659 -7.9711 3.2385
2.7520 -7.9196 1.0061
3.3255 -3.5160 0.4038
-1.1182 -2.9356 0.4165
-1.6917 -7.3391 1.0189
0.0000 0.0000 0.0000
0.8169 -5.4276 0.7113
```

Calculated values
symmetry: P4/mbm (127)
volume: 26.5 Å³ per atom
energy: -5.652 eV/atom
ρ: 6.10 g/cm³